An optimized crystal structure of CeInCuAu. Source: the Alexandria database, functional PBE-GGA.

Results
- energy relative to the elements (kJ/mol of atoms) = -41
- N(E_F) (states/eV per cell) = 4.38
- crystal system = cubic
- total magnetization (μB/atom) = 0.127
- V (Å³ per cell) = 84
- space group = F-43m (216)
- VASP energy (eV per atom) = -4.437

Unit cell a=4.9252 b=4.9252 c=4.9252 alpha=60.00 beta=60.00 gamma=60.00
Closest atoms and distances in Å follow each position.
Atoms (fractional coordinates):
Cu: 0.0000 0.0000 0.0000  4 Ce 3.02, 4 In 3.02
In: 0.2500 0.2500 0.2500  4 Cu 3.02, 4 Au 3.02
Au: 0.5000 0.5000 0.5000  4 In 3.02, 4 Ce 3.02
Ce: 0.7500 0.7500 0.7500  4 Cu 3.02, 4 Au 3.02